[1]
First-principles (PBE-GGA) data for LaGeAs3 after structural relaxation, as listed in Alexandria via LeMat-Bulk.

a = 4.979 Å, b = 4.979 Å, c = 4.979 Å
α = 90.00°, β = 90.00°, γ = 90.00°
Fractional coordinates of all 5 atoms:
1 As 0.500 0.000 0.000
2 La 0.500 0.500 0.500
3 Ge 0.000 0.000 0.000
4 As 0.000 0.500 0.000
5 As 0.000 0.000 0.500

E_form = -0.1315 eV/atom
E_tot = -4.830 eV per atom
Space group = Pm-3m, No. 221
Relative energy among the computed polymorphs = 0.0000 eV/atom


[2]
First-principles (PBE-GGA) data for Pm2ThCo9 after structural relaxation, as listed in Alexandria via LeMat-Bulk.

a = 5.004 Å, b = 5.004 Å, c = 8.825 Å
α = 73.53°, β = 73.53°, γ = 60.00°
Each line ends with the local moment (μB).
Fractional coordinates of all 12 atoms:
1 Co 0.420 0.420 0.241  1.24
2 Co 0.580 0.081 0.759  1.24
3 Pm 0.860 0.860 0.421  -0.26
4 Pm 0.140 0.140 0.579  -0.26
5 Co 0.334 0.334 0.999  1.22
6 Co 0.420 0.919 0.241  1.24
7 Co 0.919 0.420 0.241  1.24
8 Co 0.580 0.580 0.759  1.24
9 Co 0.081 0.580 0.759  1.24
10 Co 0.500 0.500 0.500  1.07
11 Co 0.666 0.666 0.001  1.22
12 Th 0.000 0.000 0.000  -0.29

E_form = -0.1133 eV/atom
E_tot = -6.853 eV per atom
Space group = R-3m, No. 166


[3]
First-principles (PBE-GGA) data for LiCaTbAg after structural relaxation, as listed in Alexandria via LeMat-Bulk.

a = 5.233 Å, b = 5.233 Å, c = 5.233 Å
α = 60.00°, β = 60.00°, γ = 60.00°
Fractional coordinates of all 4 atoms:
1 Li 0.750 0.750 0.750
2 Tb 0.000 0.000 0.000
3 Ag 0.250 0.250 0.250
4 Ca 0.500 0.500 0.500

E_form = -0.1005 eV/atom
E_tot = -2.950 eV per atom
Space group = F-43m, No. 216


[4]
First-principles (PBE-GGA) data for ThRe2B6 after structural relaxation, as listed in Alexandria via LeMat-Bulk.

a = 3.191 Å, b = 5.736 Å, c = 5.736 Å
α = 72.51°, β = 73.85°, γ = 73.85°
Fractional coordinates of all 9 atoms:
1 B 0.190 0.567 0.053
2 Th 0.500 0.500 0.500
3 B 0.000 0.157 0.843
4 B 0.190 0.053 0.567
5 Re 0.340 0.160 0.160
6 Re 0.660 0.840 0.840
7 B 0.810 0.947 0.433
8 B 0.000 0.843 0.157
9 B 0.810 0.433 0.947

E_form = -0.4367 eV/atom
E_tot = -8.479 eV per atom
Space group = Immm, No. 71


[5]
First-principles (PBE-GGA) data for Ce8Ru2Pt after structural relaxation, as listed in Alexandria via LeMat-Bulk.

a = 5.331 Å, b = 6.180 Å, c = 9.117 Å
α = 109.95°, β = 107.00°, γ = 90.00°
Each line ends with the local moment (μB).
Fractional coordinates of all 11 atoms:
1 Ce 0.206 0.322 0.411  0.56
2 Ru 0.162 0.743 0.325  -0.06
3 Ce 0.597 0.504 0.194  0.39
4 Ce 0.322 0.961 0.644  0.31
5 Ce 0.794 0.678 0.589  0.56
6 Ce 0.021 0.782 0.042  0.26
7 Ce 0.403 0.496 0.806  0.39
8 Pt 0.500 0.000 0.000  0.00
9 Ce 0.678 0.039 0.356  0.31
10 Ce 0.979 0.218 0.958  0.26
11 Ru 0.838 0.257 0.675  -0.06

E_form = -0.3208 eV/atom
E_tot = -6.872 eV per atom
Space group = C2/m, No. 12


[6]
First-principles (PBE-GGA) data for Ce3Hg2C after structural relaxation, as listed in Alexandria via LeMat-Bulk.

a = 5.047 Å, b = 7.004 Å, c = 8.493 Å
α = 90.00°, β = 72.72°, γ = 90.00°
Each line ends with the local moment (μB).
Fractional coordinates of all 12 atoms:
1 Ce 0.889 0.500 0.221  0.47
2 Ce 0.111 0.500 0.779  0.47
3 C 0.000 0.250 0.000  -0.03
4 Ce 0.500 0.250 0.000  0.41
5 Ce 0.889 0.000 0.221  0.47
6 Ce 0.500 0.750 0.000  0.41
7 C 0.000 0.750 0.000  -0.03
8 Hg 0.697 0.750 0.605  0.00
9 Hg 0.302 0.750 0.395  0.00
10 Hg 0.698 0.250 0.605  0.00
11 Ce 0.111 0.000 0.779  0.47
12 Hg 0.303 0.250 0.395  0.00

E_form = -0.2986 eV/atom
E_tot = -4.903 eV per atom
Space group = Cmmm, No. 65
Relative energy among the computed polymorphs = 0.0000 eV/atom